# 1
This record from Alexandria describes a relaxed structure of TlHIO. The functional is PBE.

a b c (Å): 15.978 4.102 3.080
angles (deg): 90.00 98.46 90.00
Space group Cm (No. 8)
Symmetry-distinct sites (fractional):
1 Tl 0.000 0.000 0.000
2 H 0.388 0.000 0.574
3 I 0.199 0.500 0.309
4 O 0.420 0.000 0.872

Results
calculated density: 5.79 g cm⁻³
crystal system: monoclinic
final energy: -0.26335 Ry per atom
Fermi-level density of states: 2.16 states/eV/cell

---

# 2
This record from Alexandria describes a relaxed structure of Ag2SnHAu. The functional is PBE.

a b c (Å): 4.532 4.532 4.028
angles (deg): 90.00 90.00 90.00
Space group P4/mmm (No. 123)
Symmetry-distinct sites (fractional):
1 Ag 0.000 0.500 0.000
2 Sn 0.000 0.000 0.500
3 H 0.500 0.500 0.000
4 Au 0.500 0.500 0.500

Results
calculated density: 10.69 g cm⁻³
crystal system: tetragonal
final energy: -0.22653 Ry per atom
Fermi-level density of states: 0.68 states/eV/cell

---

# 3
This record from Alexandria describes a relaxed structure of Ag2AsP. The functional is PBE.

a b c (Å): 4.133 4.146 8.373
angles (deg): 90.00 90.00 90.00
Space group Cmmm (No. 65)
Symmetry-distinct sites (fractional):
1 Ag 0.000 0.000 0.236
2 As 0.000 0.500 0.500
3 P 0.000 0.500 0.000

Results
calculated density: 7.45 g cm⁻³
crystal system: orthorhombic
final energy: -0.26524 Ry per atom
Fermi-level density of states: 2.97 states/eV/cell
E_form: 332 meV/atom

---

# 4
This record from Alexandria describes a relaxed structure of NiPt9Rh2. The functional is PBE.

a b c (Å): 3.925 3.925 11.788
angles (deg): 90.00 90.00 90.00
Space group P4/mmm (No. 123)
Symmetry-distinct sites (fractional):
1 Ni 0.000 0.000 0.000
2 Pt 0.000 0.500 0.162
3 Pt 0.000 0.500 0.500
4 Pt 0.500 0.500 0.000
5 Pt 0.500 0.500 0.330
6 Rh 0.000 0.000 0.334

Results
calculated density: 18.48 g cm⁻³
crystal system: tetragonal
final energy: -0.46123 Ry per atom
Fermi-level density of states: 22.28 states/eV/cell
E_form: -38 meV/atom

---

# 5
This record from Alexandria describes a relaxed structure of PmDy2ErHg4. The functional is PBE.

a b c (Å): 5.2779 5.2779 25.9922
angles (deg): 90.00 90.00 120.00
Space group R-3m (No. 166, hexagonal axes)
Symmetry-distinct sites (fractional):
1 Pm 0.0000 0.0000 0.0000
2 Dy 0.0000 0.0000 0.2493
3 Er 0.0000 0.0000 0.5000
4 Hg 0.0000 0.0000 0.1267
5 Hg 0.0000 0.0000 0.3773

Results
calculated density: 11.44 g cm⁻³
crystal system: trigonal
final energy: -0.21602 Ry per atom
Fermi-level density of states: 25.81 states/eV/cell
E_form: -474 meV/atom

---

# 6
This record from Alexandria describes a relaxed structure of CoIN2Cl. The functional is PBE.

a b c (Å): 3.709 3.709 8.060
angles (deg): 90.00 90.00 90.00
Space group P4/mmm (No. 123)
Symmetry-distinct sites (fractional):
1 Co 0.000 0.000 0.000
2 I 0.000 0.000 0.500
3 N 0.000 0.500 0.000
4 Cl 0.500 0.500 0.500

Results
calculated density: 3.73 g cm⁻³
crystal system: tetragonal
E_form (uncorrected): 610 kJ/mol of formula units
final energy: -0.30626 Ry per atom
Fermi-level density of states: 3.52 states/eV/cell

---

# 7
This record from Alexandria describes a relaxed structure of TlPAu. The functional is PBE.

a b c (Å): 6.523 6.523 6.523
angles (deg): 90.00 90.00 90.00
Space group F-43m (No. 216)
Symmetry-distinct sites (fractional):
1 Tl 0.000 0.000 0.000
2 P 0.250 0.250 0.750
3 Au 0.000 0.000 0.500

Results
calculated density: 10.35 g cm⁻³
crystal system: cubic
final energy: -0.24452 Ry per atom
Fermi-level density of states: 9.42 states/eV/cell
E_form: 358 meV/atom

---

# 8
This record from Alexandria describes a relaxed structure of Tb2Nd3Er6. The functional is PBE.

a b c (Å): 6.150 10.677 11.555
angles (deg): 90.00 100.38 90.00
Space group C2/m (No. 12)
Symmetry-distinct sites (fractional):
1 Tb 0.000 0.166 0.000
2 Nd 0.000 0.000 0.500
3 Nd 0.000 0.336 0.500
4 Er 0.248 0.334 0.246
5 Er 0.249 0.000 0.246

Results
calculated density: 7.81 g cm⁻³
crystal system: monoclinic
final energy: -0.32553 Ry per atom
Fermi-level density of states: 36.24 states/eV/cell
E_form: 202 meV/atom

---

# 9
This record from Alexandria describes a relaxed structure of KZr2NiC. The functional is PBE.

a b c (Å): 4.893 4.893 4.052
angles (deg): 90.00 90.00 90.00
Space group P4/mmm (No. 123)
Symmetry-distinct sites (fractional):
1 K 0.000 0.000 0.000
2 Zr 0.000 0.500 0.000
3 Ni 0.500 0.500 0.500
4 C 0.000 0.000 0.500

Results
calculated density: 5.00 g cm⁻³
crystal system: tetragonal
final energy: -0.28637 Ry per atom
Fermi-level density of states: 7.13 states/eV/cell
E_form: 2743 meV/atom

---

# 10
This record from Alexandria describes a relaxed structure of AlCd2Co. The functional is PBE.

a b c (Å): 8.696 8.696 4.654
angles (deg): 90.00 90.00 90.00
Space group I-42d (No. 122)
Symmetry-distinct sites (fractional):
1 Al 0.000 0.000 0.000
2 Cd 0.137 0.250 0.625
3 Co 0.000 0.000 0.500

Results
calculated density: 5.86 g cm⁻³
crystal system: tetragonal
final energy: -0.20368 Ry per atom
Fermi-level density of states: 8.30 states/eV/cell
E_form: 399 meV/atom

---

# 11
This record from Alexandria describes a relaxed structure of Tm2NpN3. The functional is PBE.

a b c (Å): 13.152 3.358 8.321
angles (deg): 90.00 109.23 90.00
Space group C2/m (No. 12)
Symmetry-distinct sites (fractional):
1 Tm 0.169 0.000 0.337
2 Tm 0.170 0.500 0.835
3 Np 0.000 0.000 0.500
4 Np 0.000 0.500 0.000
5 N 0.029 0.000 0.800
6 N 0.140 0.500 0.528
7 N 0.191 0.500 0.135

Results
calculated density: 11.81 g cm⁻³
crystal system: monoclinic
E_form (uncorrected): -691 kJ/mol of formula units
final energy: -0.66174 Ry per atom
Fermi-level density of states: 21.82 states/eV/cell

---

# 12
This record from Alexandria describes a relaxed structure of La6HoIn2. The functional is PBE.

a b c (Å): 8.3812 8.3812 5.0923
angles (deg): 90.00 90.00 120.00
Space group P-62m (No. 189)
Symmetry-distinct sites (fractional):
1 La 0.0000 0.2465 0.0000
2 La 0.0000 0.5674 0.5000
3 Ho 0.0000 0.0000 0.5000
4 In 0.3333 0.6667 0.0000

Results
calculated density: 6.58 g cm⁻³
crystal system: hexagonal
final energy: -0.33488 Ry per atom
Fermi-level density of states: 9.03 states/eV/cell
E_form: -154 meV/atom

---

# 13
This record from Alexandria describes a relaxed structure of CdCu2Pt. The functional is PBE.

a b c (Å): 6.245 6.245 6.245
angles (deg): 90.00 90.00 90.00
Space group F-43m (No. 216)
Symmetry-distinct sites (fractional):
1 Cd 0.000 0.000 0.000
2 Cu 0.000 0.000 0.500
3 Cu 0.250 0.250 0.250
4 Pt 0.250 0.250 0.750

Results
calculated density: 11.85 g cm⁻³
crystal system: cubic
final energy: -0.28277 Ry per atom
Fermi-level density of states: 7.79 states/eV/cell
E_form: -60 meV/atom

---

# 14
This record from Alexandria describes a relaxed structure of PdPtAu5. The functional is PBE.

a b c (Å): 4.142 4.142 7.613
angles (deg): 90.00 90.00 90.00
Space group P4/mmm (No. 123)
Symmetry-distinct sites (fractional):
1 Pd 0.000 0.000 0.000
2 Pt 0.000 0.000 0.500
3 Au 0.000 0.500 0.265
4 Au 0.500 0.500 0.000

Results
calculated density: 16.36 g cm⁻³
crystal system: tetragonal
final energy: -0.28340 Ry per atom
Fermi-level density of states: 5.01 states/eV/cell
E_form: 90 meV/atom

---

# 15
This record from Alexandria describes a relaxed structure of NiPtIN2. The functional is PBE.

a b c (Å): 3.733 3.733 8.556
angles (deg): 90.00 90.00 90.00
Space group P4/mmm (No. 123)
Symmetry-distinct sites (fractional):
1 Ni 0.000 0.000 0.000
2 Pt 0.500 0.500 0.500
3 I 0.500 0.500 0.000
4 N 0.000 0.500 0.500

Results
calculated density: 5.69 g cm⁻³
crystal system: tetragonal
E_form (uncorrected): 573 kJ/mol of formula units
final energy: -0.35404 Ry per atom
Fermi-level density of states: 7.27 states/eV/cell

---

# 16
This record from Alexandria describes a relaxed structure of BaTm2Hg2Pb2. The functional is PBE.

a b c (Å): 5.1659 5.1659 28.6256
angles (deg): 90.00 90.00 120.00
Space group R-3m (No. 166, hexagonal axes)
Symmetry-distinct sites (fractional):
1 Ba 0.0000 0.0000 0.0000
2 Tm 0.0000 0.0000 0.1362
3 Hg 0.0000 0.0000 0.4445
4 Pb 0.0000 0.0000 0.2566

Results
calculated density: 9.72 g cm⁻³
crystal system: trigonal
final energy: -0.22014 Ry per atom
Fermi-level density of states: 21.67 states/eV/cell
E_form: -297 meV/atom

---

# 17
This record from Alexandria describes a relaxed structure of Mg6SnB. The functional is PBE.

a b c (Å): 4.750 6.077 11.611
angles (deg): 90.00 90.00 90.00
Space group Amm2 (No. 38)
Symmetry-distinct sites (fractional):
1 Mg 0.000 0.000 0.000
2 Mg 0.000 0.228 0.266
3 Mg 0.500 0.000 0.838
4 Mg 0.500 0.250 0.094
5 Sn 0.000 0.000 0.512
6 B 0.500 0.000 0.253

Results
calculated density: 2.73 g cm⁻³
crystal system: orthorhombic
final energy: -0.16676 Ry per atom
Fermi-level density of states: 5.26 states/eV/cell
E_form: 262 meV/atom

---

# 18
This record from Alexandria describes a relaxed structure of BaLiMg2Ga. The functional is PBE.

a b c (Å): 5.307 5.307 5.274
angles (deg): 90.00 90.00 90.00
Space group P4/mmm (No. 123)
Symmetry-distinct sites (fractional):
1 Ba 0.000 0.000 0.000
2 Li 0.500 0.500 0.000
3 Mg 0.000 0.500 0.500
4 Ga 0.500 0.500 0.500

Results
calculated density: 2.94 g cm⁻³
crystal system: tetragonal
final energy: -0.15142 Ry per atom
Fermi-level density of states: 3.44 states/eV/cell
E_form: -50 meV/atom

---

# 19
This record from Alexandria describes a relaxed structure of Mn2IrCl. The functional is PBE.

a b c (Å): 6.467 6.467 7.001
angles (deg): 90.00 90.00 90.00
Space group I-42d (No. 122)
Symmetry-distinct sites (fractional):
1 Mn 0.247 0.750 0.125
2 Ir 0.000 0.000 0.500
3 Cl 0.000 0.000 0.000

Results
calculated density: 7.66 g cm⁻³
crystal system: tetragonal
E_form (uncorrected): 196 kJ/mol of formula units
final energy: -0.49640 Ry per atom
Fermi-level density of states: 17.67 states/eV/cell

---

# 20
This record from Alexandria describes a relaxed structure of MgAg6Hg. The functional is PBE.

a b c (Å): 5.9147 5.9147 4.8651
angles (deg): 90.00 90.00 120.00
Space group P-6m2 (No. 187)
Symmetry-distinct sites (fractional):
1 Mg 0.0000 0.0000 0.0000
2 Ag 0.3324 0.1662 0.5000
3 Ag 0.5022 0.0043 0.0000
4 Hg 0.3333 0.6667 0.5000

Results
calculated density: 9.82 g cm⁻³
crystal system: hexagonal
final energy: -0.17873 Ry per atom
Fermi-level density of states: 1.17 states/eV/cell
E_form: -56 meV/atom